1.
CrOsW2 after structural relaxation. Source: Alexandria, functional GGA-PBE.

It has space group I-4m2 (No. 119), with a = 3.851 Å, b = 3.851 Å, c = 8.011 Å, α = 90.00°, β = 90.00° and γ = 90.00°. The asymmetric unit holds Cr at (0.000, 0.000, 0.000), Os at (0.000, 0.500, 0.750), W at (0.000, 0.000, 0.500) and W at (0.000, 0.500, 0.250).

The calculation puts the calculated total energy at -11.426 eV/atom. The density of states at the Fermi level is 1.059 states/eV/atom.


2.
CrOsW2 after structural relaxation. Source: Alexandria, functional GGA-PBE.

It has space group Cmmm (No. 65), with a = 3.082 Å, b = 4.471 Å, c = 8.582 Å, α = 90.00°, β = 90.00° and γ = 90.00°. The asymmetric unit holds Cr at (0.000, 0.000, 0.000), Os at (0.000, 0.000, 0.500) and W at (0.000, 0.500, 0.240).

The calculation puts the calculated total energy at -11.462 eV/atom. The density of states at the Fermi level is 1.087 states/eV/atom.


3.
Cr2OsW after structural relaxation. Source: Alexandria, functional GGA-PBE.

It has space group R-3m (No. 166, hexagonal axes), with a = 2.6833 Å, b = 2.6833 Å, c = 26.7824 Å, α = 90.00°, β = 90.00° and γ = 120.00°. The asymmetric unit holds Cr at (0.0000, 0.0000, 0.2466), Os at (0.0000, 0.0000, 0.5000) and W at (0.0000, 0.0000, 0.0000).

The calculation puts the calculated total energy at -10.520 eV/atom. The density of states at the Fermi level is 1.288 states/eV/atom.


4.
Cr2OsW after structural relaxation. Source: Alexandria, functional GGA-PBE.

It has space group I-4m2 (No. 119), with a = 3.761 Å, b = 3.761 Å, c = 7.772 Å, α = 90.00°, β = 90.00° and γ = 90.00°. The asymmetric unit holds Cr at (0.000, 0.000, 0.000), Cr at (0.000, 0.500, 0.250), Os at (0.000, 0.500, 0.750) and W at (0.000, 0.000, 0.500).

The calculation puts the calculated total energy at -10.625 eV/atom. The density of states at the Fermi level is 1.305 states/eV/atom.


5.
CrOsW2 after structural relaxation. Source: Alexandria, functional GGA-PBE.

It has space group Cm (No. 8), with a = 9.258 Å, b = 2.787 Å, c = 4.702 Å, α = 90.00°, β = 101.45° and γ = 90.00°. The asymmetric unit holds Cr at (0.000, 0.000, 0.000), Os at (0.228, 0.500, 0.262), W at (0.251, 0.000, 0.782) and W at (0.481, 0.000, 0.482).

The calculation puts the calculated total energy at -11.449 eV/atom. The density of states at the Fermi level is 0.983 states/eV/atom.


6.
Cr2OsW after structural relaxation. Source: Alexandria, functional GGA-PBE.

It has space group Cmm2 (No. 35), with a = 2.993 Å, b = 4.394 Å, c = 8.342 Å, α = 90.00°, β = 90.00° and γ = 90.00°. The asymmetric unit holds Cr at (0.000, 0.000, 0.000), Cr at (0.000, 0.500, 0.222), Os at (0.000, 0.500, 0.751) and W at (0.000, 0.000, 0.477).

The calculation puts the calculated total energy at -10.619 eV/atom. The density of states at the Fermi level is 1.313 states/eV/atom.


7.
ZnCrOsW after structural relaxation. Source: Alexandria, functional GGA-PBE.

It has space group F-43m (No. 216), with a = 6.117 Å, b = 6.117 Å, c = 6.117 Å, α = 90.00°, β = 90.00° and γ = 90.00°. The asymmetric unit holds Zn at (0.000, 0.000, 0.000), Cr at (0.250, 0.250, 0.750), Os at (0.250, 0.250, 0.250) and W at (0.000, 0.000, 0.500).

The calculation puts the calculated total energy at -8.641 eV/atom. The density of states at the Fermi level is 0.594 states/eV/atom.


8.
YCrOs3 after structural relaxation. Source: Alexandria, functional GGA-PBE.

It has space group Pm-3m (No. 221), with a = 4.517 Å, b = 4.517 Å, c = 4.517 Å, α = 90.00°, β = 90.00° and γ = 90.00°. The asymmetric unit holds Y at (0.000, 0.000, 0.000), Cr at (0.500, 0.500, 0.500) and Os at (0.000, 0.500, 0.500).

The calculation puts the calculated total energy at -9.150 eV/atom. The density of states at the Fermi level is 0.902 states/eV/atom.


9.
YCr2Os after structural relaxation. Source: Alexandria, functional GGA-PBE.

It has space group Immm (No. 71), with a = 3.115 Å, b = 4.625 Å, c = 8.925 Å, α = 90.00°, β = 90.00° and γ = 90.00°. The asymmetric unit holds Y at (0.000, 0.000, 0.000), Cr at (0.000, 0.500, 0.230) and Os at (0.000, 0.000, 0.500).

The calculation puts the calculated total energy at -8.759 eV/atom. The density of states at the Fermi level is 1.038 states/eV/atom.


10.
YCr2Os2 after structural relaxation. Source: Alexandria, functional GGA-PBE.

It has space group P4/mbm (No. 127), with a = 7.466 Å, b = 7.466 Å, c = 2.783 Å, α = 90.00°, β = 90.00° and γ = 90.00°. The asymmetric unit holds Y at (0.000, 0.000, 0.000), Cr at (0.150, 0.350, 0.000) and Os at (0.140, 0.640, 0.500).

The calculation puts the calculated total energy at -9.451 eV/atom. The density of states at the Fermi level is 1.060 states/eV/atom.


11.
YCr2Os after structural relaxation. Source: Alexandria, functional GGA-PBE.

It has space group Pm (No. 6), with a = 2.952 Å, b = 3.899 Å, c = 5.998 Å, α = 90.00°, β = 102.41° and γ = 90.00°. The asymmetric unit holds Y at (0.000, 0.000, 0.000), Cr at (0.599, 0.500, 0.322), Cr at (0.954, 0.000, 0.494) and Os at (0.384, 0.500, 0.693).

The calculation puts the calculated total energy at -8.867 eV/atom. The density of states at the Fermi level is 0.999 states/eV/atom.


12.
YCr2Os after structural relaxation. Source: Alexandria, functional GGA-PBE.

It has space group C2/m (No. 12), with a = 9.491 Å, b = 3.078 Å, c = 5.020 Å, α = 90.00°, β = 106.60° and γ = 90.00°. The asymmetric unit holds Y at (0.000, 0.000, 0.000), Cr at (0.221, 0.000, 0.634) and Os at (0.000, 0.500, 0.500).

The calculation puts the calculated total energy at -8.903 eV/atom. The density of states at the Fermi level is 1.071 states/eV/atom.